1.
## NbCuSi3 (GGA-PBE)

Data for a geometry-optimized NbCuSi3 structure.

The structure in CIF format:
```
data_NbCuSi3
_chemical_formula_sum 'Nb1 Cu1 Si3'
_space_group_name_H-M_alt 'P 1'
_space_group_IT_number 1
_space_group_name_Hall 'P 1'
_cell_length_a 4.849
_cell_length_b 4.849
_cell_length_c 4.849
_cell_angle_alpha 90.00
_cell_angle_beta 90.00
_cell_angle_gamma 90.00
loop_
_atom_site_label
_atom_site_type_symbol
_atom_site_fract_x
_atom_site_fract_y
_atom_site_fract_z
_atom_site_occupancy
Cu1 Cu 0.500 0.500 0.500 1
Nb1 Nb 0.000 0.000 0.000 1
Si1 Si 0.000 0.500 0.000 1
Si2 Si 0.500 0.000 0.000 1
Si3 Si 0.000 0.000 0.500 1
```

Calculated values
The mass density comes out at 3.5 Mg/m³. The total energy is -5.144 eV per atom. As for the distance to the lowest polymorph of the same formula: 0.033 eV/f.u. The uncorrected formation energy is 0.94 eV per atom.

***

2.
## La3HfIr (GGA-PBE)

Data for a geometry-optimized La3HfIr structure.

The structure in CIF format:
```
data_La3HfIr
_chemical_formula_sum 'La3 Hf1 Ir1'
_space_group_name_H-M_alt 'P 1'
_space_group_IT_number 1
_space_group_name_Hall 'P 1'
_cell_length_a 5.498
_cell_length_b 5.498
_cell_length_c 5.498
_cell_angle_alpha 90.00
_cell_angle_beta 90.00
_cell_angle_gamma 90.00
loop_
_atom_site_label
_atom_site_type_symbol
_atom_site_fract_x
_atom_site_fract_y
_atom_site_fract_z
_atom_site_occupancy
Ir1 Ir 0.500 0.500 0.500 1
La1 La 0.500 0.000 0.000 1
La2 La 0.000 0.500 0.000 1
La3 La 0.000 0.000 0.500 1
Hf1 Hf 0.000 0.000 0.000 1
```

Calculated values
The value obtained for the formation energy is 1.02 eV/atom. The mass density comes out at 7.9 Mg/m³. The total energy is -5.697 eV per atom. As for the distance to the lowest polymorph of the same formula: 4.403 eV/f.u.

***

3.
## Pm4Pr5Th2 (GGA-PBE)

Data for a geometry-optimized Pm4Pr5Th2 structure.

The structure in CIF format:
```
data_Pm4Pr5Th2
_chemical_formula_sum 'Pm4 Pr5 Th2'
_space_group_name_H-M_alt 'P 1'
_space_group_IT_number 1
_space_group_name_Hall 'P 1'
_cell_length_a 3.539
_cell_length_b 9.104
_cell_length_c 12.063
_cell_angle_alpha 85.79
_cell_angle_beta 90.00
_cell_angle_gamma 90.00
loop_
_atom_site_label
_atom_site_type_symbol
_atom_site_fract_x
_atom_site_fract_y
_atom_site_fract_z
_atom_site_occupancy
Pm1 Pm 0.500 0.302 0.548 1
Pm2 Pm 0.500 0.157 0.106 1
Pm3 Pm 0.500 0.698 0.452 1
Pm4 Pm 0.500 0.843 0.894 1
Pr1 Pr 0.000 0.419 0.288 1
Pr2 Pr 0.000 0.806 0.169 1
Pr3 Pr 0.000 0.194 0.831 1
Pr4 Pr 0.000 0.500 0.000 1
Pr5 Pr 0.000 0.581 0.712 1
Th1 Th 0.000 0.954 0.630 1
Th2 Th 0.000 0.046 0.370 1
```

Calculated values
The value obtained for the formation energy is 0.13 eV/atom. The mass density comes out at 7.5 Mg/m³. The total energy is -5.123 eV per atom.

***

The calculation returns the following DOS at the Fermi energy values, one per record and in order: 3.73, 6.77, 18.65 states/eV per cell.